one:
Crystalline SmTlZnS3 at its relaxed geometry. Source: OQMD via LeMat-Bulk, functional PBE.

Magnetic moment (μB/cell): 0.0
Volume (Å³ per cell): 592

Unit cell a=16.5454 b=4.1436 c=8.9887 alpha=90.00 beta=105.98 gamma=90.00
Space group C2/m (No. 12)
One atom of each set of equivalent atoms:
Sm 0.1716 0.0000 0.1034
Tl 0.1375 0.0000 0.5673
Zn 0.0001 0.5000 0.2165
S 0.0000 0.0000 0.0000
S 0.0000 0.5000 0.5000
S 0.1497 0.5000 0.2916
S 0.1554 0.5000 0.8777

two:
Crystalline SmTlZnS3 at its relaxed geometry. Source: OQMD via LeMat-Bulk, functional PBE.

Magnetic moment (μB/cell): 0.0
Volume (Å³ per cell): 321

Unit cell a=8.0766 b=4.0426 c=10.3305 alpha=90.00 beta=107.93 gamma=90.00
Space group P2_1/m (No. 11)
One atom of each set of equivalent atoms:
Sm 0.1953 0.2500 0.1366
Tl 0.2270 0.7500 0.7116
Zn 0.4264 0.7500 0.3925
S 0.0442 0.2500 0.8587
S 0.2886 0.2500 0.4379
S 0.4431 0.7500 0.1715

Most favorable structure: two. The second most favorable one is 127 meV per atom above it.

one:
Crystalline HgTePO at its relaxed geometry. Source: OQMD via LeMat-Bulk, functional PBE.

Volume (Å³ per cell): 173

Unit cell a=4.3656 b=6.7851 c=5.8242 alpha=90.00 beta=90.00 gamma=90.00
Space group Pmc2_1 (No. 26)
One atom of each set of equivalent atoms:
Hg 0.0000 0.1649 0.0000
Te 0.5000 0.2521 0.4799
P 0.5000 0.3158 0.8987
O 0.0000 0.2008 0.4474

two:
Crystalline HgTePO at its relaxed geometry. Source: OQMD via LeMat-Bulk, functional PBE.

Volume (Å³ per cell): 183

Unit cell a=4.8404 b=4.8404 c=7.8252 alpha=90.00 beta=90.00 gamma=90.00
Space group P4/nmm (No. 129, origin choice 2)
One atom of each set of equivalent atoms:
Hg 0.2500 0.2500 0.0114
Te 0.2500 0.7500 0.5000
P 0.2500 0.2500 0.3736
O 0.2500 0.7500 0.0000

Most favorable structure: one. The second most favorable one is 278 meV per atom above it.

one:
Crystalline Nb2Tc at its relaxed geometry. Source: OQMD via LeMat-Bulk, functional PBE.

Magnetic moment (μB/cell): 9.9
Volume (Å³ per cell): 426

Unit cell a=7.5241 b=7.5241 c=7.5241 alpha=90.00 beta=90.00 gamma=90.00
Space group Fd-3m (No. 227, origin choice 2)
One atom of each set of equivalent atoms:
Nb 0.0000 0.0000 0.0000
Tc 0.1250 0.1250 0.6250

two:
Crystalline Nb2Tc at its relaxed geometry. Source: OQMD via LeMat-Bulk, functional PBE.

Magnetic moment (μB/cell): 23.8
Volume (Å³ per cell): 1328

Unit cell a=10.9929 b=10.9929 c=10.9929 alpha=90.00 beta=90.00 gamma=90.00
Space group Fd-3m (No. 227, origin choice 2)
One atom of each set of equivalent atoms:
Nb 0.0000 0.0000 0.0000
Tc 0.1250 0.1250 0.1250

Most favorable structure: one. The second most favorable one is 2574 meV per atom above it.

one:
Crystalline ZnW at its relaxed geometry. Source: OQMD via LeMat-Bulk, functional PBE.

Magnetic moment (μB/cell): 0.0
Volume (Å³ per cell): 185

Unit cell a=5.4539 b=4.4993 c=7.5608 alpha=90.00 beta=93.86 gamma=90.00
Space group P2_1/m (No. 11)
One atom of each set of equivalent atoms:
Zn 0.0670 0.2500 0.0757
Zn 0.2682 0.2500 0.7483
Zn 0.4265 0.7500 0.9222
W 0.0837 0.7500 0.5704
W 0.2374 0.7500 0.2558
W 0.4192 0.2500 0.4014

two:
Crystalline ZnW at its relaxed geometry. Source: OQMD via LeMat-Bulk, functional PBE.

Magnetic moment (μB/cell): 0.0
Volume (Å³ per cell): 243

Unit cell a=4.3229 b=12.9758 c=4.3277 alpha=90.00 beta=90.00 gamma=90.00
Space group Pmmn (No. 59, origin choice 2)
One atom of each set of equivalent atoms:
Zn 0.2500 0.0000 0.2504
Zn 0.2500 0.1149 0.7489
W 0.2500 0.2500 0.2485
W 0.2500 0.6289 0.7514
W 0.2500 0.7500 0.2517

Most favorable structure: one. The second most favorable one is 57 meV per atom above it.